# 1
First-principles (PBE-GGA) data for an optimized crystal structure of CoHg3C, as listed in Alexandria.

Summary:
* polymorph energy (0 for the lowest one): 0 meV per atom
* crystal system: cubic
* ΔE_f: 1.465 eV per atom

a b c (Å): 4.6405 4.6405 4.6405
angles (deg): 90.00 90.00 90.00
Sites, in units of the cell vectors:
Co (0.0000, 0.0000, 0.0000)
Hg (0.0000, 0.5000, 0.5000)
Hg (0.5000, 0.0000, 0.5000)
Hg (0.5000, 0.5000, 0.0000)
C (0.5000, 0.5000, 0.5000)

=====

# 2
First-principles (PBE-GGA) data for an optimized crystal structure of KLaZrZn2, as listed in Alexandria.

Summary:
* crystal system: tetragonal
* ΔE_f: 0.771 eV per atom

a b c (Å): 5.2626 5.2626 5.3395
angles (deg): 90.00 90.00 90.00
Sites, in units of the cell vectors:
K (0.0000, 0.0000, 0.0000)
La (0.5000, 0.5000, 0.0000)
Zr (0.0000, 0.0000, 0.5000)
Zn (0.0000, 0.5000, 0.5000)
Zn (0.5000, 0.0000, 0.5000)

=====

# 3
First-principles (PBE-GGA) data for an optimized crystal structure of MnCoAg2, as listed in Alexandria.

Summary:
* polymorph energy (0 for the lowest one): 0 meV per atom
* crystal system: tetragonal
* ΔE_f: 0.240 eV per atom

a b c (Å): 2.9475 2.9475 6.9163
angles (deg): 90.00 90.00 90.00
Sites, in units of the cell vectors:
Mn (0.0000, 0.0000, 0.0000)
Co (0.5000, 0.5000, 0.8312)
Ag (0.0000, 0.0000, 0.5684)
Ag (0.5000, 0.5000, 0.2719)

=====

# 4
First-principles (PBE-GGA) data for an optimized crystal structure of TaHOsPd2, as listed in Alexandria.

Summary:
* total DFT energy (no corrections): -6.33 eV per atom
* crystal system: tetragonal

a b c (Å): 4.8760 4.8760 3.2469
angles (deg): 90.00 90.00 90.00
Sites, in units of the cell vectors:
Ta (0.0000, 0.0000, 0.0000)
H (0.0000, 0.0000, 0.5000)
Os (0.5000, 0.5000, 0.5000)
Pd (0.0000, 0.5000, 0.0000)
Pd (0.5000, 0.0000, 0.0000)

=====

# 5
First-principles (PBE-GGA) data for an optimized crystal structure of LaZrTe3, as listed in Alexandria.

Summary:
* polymorph energy (0 for the lowest one): 448 meV per atom
* crystal system: cubic
* formation energy from raw total energies: -0.750 eV/atom

a b c (Å): 5.5647 5.5647 5.5647
angles (deg): 90.00 90.00 90.00
Sites, in units of the cell vectors:
La (0.0000, 0.0000, 0.0000)
Zr (0.5000, 0.5000, 0.5000)
Te (0.0000, 0.5000, 0.5000)
Te (0.5000, 0.0000, 0.5000)
Te (0.5000, 0.5000, 0.0000)

=====

# 6
First-principles (PBE-GGA) data for an optimized crystal structure of Tm3Tl2Cu, as listed in Alexandria.

Summary:
* polymorph energy (0 for the lowest one): 129 meV per atom
* crystal system: monoclinic
* ΔE_f: -0.170 eV per atom

a b c (Å): 8.1458 8.1458 6.5858
angles (deg): 102.58 102.58 44.96
Sites, in units of the cell vectors:
Tm (0.1494, 0.8506, 0.7500)
Tm (0.2484, 0.4347, 0.4022)
Tm (0.4347, 0.2484, 0.9022)
Tm (0.5653, 0.7516, 0.0978)
Tm (0.7516, 0.5653, 0.5978)
Tm (0.8506, 0.1494, 0.2500)
Tl (0.0611, 0.2648, 0.0408)
Tl (0.2648, 0.0611, 0.5408)
Tl (0.7352, 0.9389, 0.4592)
Tl (0.9389, 0.7352, 0.9592)
Cu (0.3620, 0.6380, 0.2500)
Cu (0.6380, 0.3620, 0.7500)

=====

# 7
First-principles (PBE-GGA) data for an optimized crystal structure of GaH3Ru, as listed in Alexandria.

Summary:
* polymorph energy (0 for the lowest one): 259 meV per atom
* crystal system: cubic

a b c (Å): 3.4946 3.4946 3.4946
angles (deg): 90.00 90.00 90.00
Sites, in units of the cell vectors:
Ga (0.0000, 0.0000, 0.0000)
H (0.0000, 0.5000, 0.5000)
H (0.5000, 0.0000, 0.5000)
H (0.5000, 0.5000, 0.0000)
Ru (0.5000, 0.5000, 0.5000)

=====

# 8
First-principles (PBE-GGA) data for an optimized crystal structure of Cs3TeSe4, as listed in Alexandria.

Summary:
* polymorph energy (0 for the lowest one): 98 meV per atom
* crystal system: orthorhombic
* formation energy from raw total energies: -0.691 eV/atom

a b c (Å): 7.9542 7.9542 7.9542
angles (deg): 121.54 90.51 117.90
Sites, in units of the cell vectors:
Cs (0.0000, 0.0000, 0.0000)
Cs (0.3630, 0.6154, 0.7476)
Cs (0.8677, 0.6154, 0.2524)
Te (0.5119, 0.0119, 0.5000)
Se (0.3874, 0.2099, 0.8225)
Se (0.3874, 0.5648, 0.1775)
Se (0.5035, 0.1898, 0.3137)
Se (0.8761, 0.1898, 0.6863)

=====

# 9
First-principles (PBE-GGA) data for an optimized crystal structure of BiHPd3, as listed in Alexandria.

Summary:
* polymorph energy (0 for the lowest one): 0 meV per atom
* crystal system: cubic

a b c (Å): 4.1926 4.1926 4.1926
angles (deg): 90.00 90.00 90.00
Sites, in units of the cell vectors:
Bi (0.0000, 0.0000, 0.0000)
H (0.5000, 0.5000, 0.5000)
Pd (0.0000, 0.5000, 0.5000)
Pd (0.5000, 0.0000, 0.5000)
Pd (0.5000, 0.5000, 0.0000)

=====

# 10
First-principles (PBE-GGA) data for an optimized crystal structure of Li2CuAg, as listed in Alexandria.

Summary:
* crystal system: monoclinic
* ΔE_f: -0.063 eV per atom

a b c (Å): 4.7267 4.7267 4.8035
angles (deg): 100.46 100.46 34.39
Sites, in units of the cell vectors:
Li (0.2453, 0.2453, 0.2424)
Li (0.7547, 0.7547, 0.7576)
Cu (0.5000, 0.5000, 0.0000)
Ag (0.0000, 0.0000, 0.5000)

=====

# 11
First-principles (PBE-GGA) data for an optimized crystal structure of NdHoBr3, as listed in Alexandria.

Summary:
* crystal system: monoclinic
* formation energy from raw total energies: -1.509 eV/atom

a b c (Å): 9.4315 9.4315 11.6451
angles (deg): 123.19 123.19 24.14
Sites, in units of the cell vectors:
Nd (0.1381, 0.1381, 0.2859)
Nd (0.8619, 0.8619, 0.7141)
Ho (0.4283, 0.4283, 0.0417)
Ho (0.5717, 0.5717, 0.9583)
Br (0.0364, 0.0364, 0.7512)
Br (0.2110, 0.2110, 0.1151)
Br (0.3362, 0.3362, 0.4917)
Br (0.6638, 0.6638, 0.5083)
Br (0.7890, 0.7890, 0.8849)
Br (0.9636, 0.9636, 0.2488)

=====

# 12
First-principles (PBE-GGA) data for an optimized crystal structure of PrGa3Ir, as listed in Alexandria.

Summary:
* polymorph energy (0 for the lowest one): 0 meV per atom
* crystal system: tetragonal
* ΔE_f: -0.548 eV per atom

a b c (Å): 4.3664 4.3664 5.2884
angles (deg): 90.00 90.00 90.00
Sites, in units of the cell vectors:
Pr (0.0000, 0.0000, 0.0000)
Ga (0.0000, 0.5000, 0.4822)
Ga (0.5000, 0.0000, 0.4822)
Ga (0.5000, 0.5000, 0.7821)
Ir (0.5000, 0.5000, 0.2451)

=====

# 13
First-principles (PBE-GGA) data for an optimized crystal structure of NdHoSi, as listed in Alexandria.

Summary:
* polymorph energy (0 for the lowest one): 194 meV per atom
* crystal system: trigonal
* formation energy from raw total energies: -0.312 eV/atom

a b c (Å): 4.6929 4.6929 4.2495
angles (deg): 90.00 90.00 120.00
Sites, in units of the cell vectors:
Nd (0.0000, 0.0000, 0.0000)
Ho (0.3333, 0.6667, 0.4702)
Si (0.6667, 0.3333, 0.6339)

=====

# 14
First-principles (PBE-GGA) data for an optimized crystal structure of Rb2CdPtCl6, as listed in Alexandria.

Summary:
* polymorph energy (0 for the lowest one): 0 meV per atom
* crystal system: tetragonal
* formation energy from raw total energies: -1.138 eV/atom

a b c (Å): 7.3185 7.3185 7.3185
angles (deg): 119.98 119.98 90.03
Sites, in units of the cell vectors:
Rb (0.2500, 0.7500, 0.5000)
Rb (0.7500, 0.2500, 0.5000)
Cd (0.0000, 0.0000, 0.0000)
Pt (0.5000, 0.5000, 0.0000)
Cl (0.2558, 0.2558, 0.5115)
Cl (0.2558, 0.7442, 0.0000)
Cl (0.2670, 0.2670, 0.0000)
Cl (0.7330, 0.7330, 0.0000)
Cl (0.7442, 0.2558, 0.0000)
Cl (0.7442, 0.7442, 0.4885)

=====

# 15
First-principles (PBE-GGA) data for an optimized crystal structure of Tb2Zn5Ag5, as listed in Alexandria.

Summary:
* polymorph energy (0 for the lowest one): 37 meV per atom
* crystal system: orthorhombic
* ΔE_f: -0.194 eV per atom

a b c (Å): 4.2840 5.6372 9.5080
angles (deg): 90.00 90.00 90.00
Sites, in units of the cell vectors:
Tb (0.0000, 0.0000, 0.0000)
Tb (0.0000, 0.5000, 0.5000)
Zn (0.0000, 0.0000, 0.3337)
Zn (0.0000, 0.0000, 0.6663)
Zn (0.0000, 0.5000, 0.1582)
Zn (0.0000, 0.5000, 0.8418)
Zn (0.5000, 0.5000, 0.0000)
Ag (0.5000, 0.0000, 0.5000)
Ag (0.5000, 0.2492, 0.2418)
Ag (0.5000, 0.2492, 0.7582)
Ag (0.5000, 0.7508, 0.2418)
Ag (0.5000, 0.7508, 0.7582)

=====

# 16
First-principles (PBE-GGA) data for an optimized crystal structure of K3Ga2Sb3, as listed in Alexandria.

Summary:
* crystal system: orthorhombic
* formation energy from raw total energies: -0.340 eV/atom

a b c (Å): 7.6547 7.6547 16.0104
angles (deg): 90.00 90.00 145.18
Sites, in units of the cell vectors:
K (0.0616, 0.9384, 0.6104)
K (0.0616, 0.9384, 0.8896)
K (0.3470, 0.6530, 0.7500)
K (0.6530, 0.3470, 0.2500)
K (0.9384, 0.0616, 0.1104)
K (0.9384, 0.0616, 0.3896)
Ga (0.2420, 0.7580, 0.0931)
Ga (0.2420, 0.7580, 0.4069)
Ga (0.7580, 0.2420, 0.5931)
Ga (0.7580, 0.2420, 0.9069)
Sb (0.3328, 0.6672, 0.2500)
Sb (0.3579, 0.6421, 0.5472)
Sb (0.3579, 0.6421, 0.9528)
Sb (0.6421, 0.3579, 0.0472)
Sb (0.6421, 0.3579, 0.4528)
Sb (0.6672, 0.3328, 0.7500)

=====

# 17
First-principles (PBE-GGA) data for an optimized crystal structure of TlTcP2O, as listed in Alexandria.

Summary:
* polymorph energy (0 for the lowest one): 1534 meV per atom
* crystal system: tetragonal
* formation energy from raw total energies: 1.428 eV/atom

a b c (Å): 5.1219 5.1219 4.0609
angles (deg): 90.00 90.00 90.00
Sites, in units of the cell vectors:
Tl (0.0000, 0.0000, 0.0000)
Tc (0.5000, 0.5000, 0.5000)
P (0.0000, 0.5000, 0.0000)
P (0.5000, 0.0000, 0.0000)
O (0.0000, 0.0000, 0.5000)

=====

# 18
First-principles (PBE-GGA) data for an optimized crystal structure of Sr3PrAl8, as listed in Alexandria.

Summary:
* crystal system: trigonal
* ΔE_f: -0.310 eV per atom

a b c (Å): 10.1020 10.1020 10.1020
angles (deg): 33.38 33.38 33.38
Sites, in units of the cell vectors:
Sr (0.0000, 0.0000, 0.0000)
Sr (0.1249, 0.1249, 0.1249)
Sr (0.6252, 0.6252, 0.6252)
Pr (0.4995, 0.4995, 0.4995)
Al (0.0618, 0.0618, 0.5604)
Al (0.0618, 0.5604, 0.0618)
Al (0.0662, 0.5622, 0.5622)
Al (0.3124, 0.3124, 0.3124)
Al (0.5604, 0.0618, 0.0618)
Al (0.5622, 0.0662, 0.5622)
Al (0.5622, 0.5622, 0.0662)
Al (0.8127, 0.8127, 0.8127)

=====

# 19
First-principles (PBE-GGA) data for an optimized crystal structure of AlZnW2, as listed in Alexandria.

Summary:
* polymorph energy (0 for the lowest one): 137 meV per atom
* crystal system: orthorhombic
* ΔE_f: 0.199 eV per atom

a b c (Å): 2.6980 4.2254 5.3974
angles (deg): 90.00 90.00 90.00
Sites, in units of the cell vectors:
Al (0.0000, 0.0000, 0.0000)
Zn (0.0000, 0.0000, 0.5000)
W (0.5000, 0.5000, 0.2464)
W (0.5000, 0.5000, 0.7536)

=====

# 20
First-principles (PBE-GGA) data for an optimized crystal structure of BaCd11Pt, as listed in Alexandria.

Summary:
* crystal system: monoclinic
* ΔE_f: -0.187 eV per atom

a b c (Å): 7.8103 7.8103 7.8284
angles (deg): 97.24 97.24 137.28
Sites, in units of the cell vectors:
Ba (0.0000, 0.0000, 0.0000)
Cd (0.0000, 0.0000, 0.5000)
Cd (0.0000, 0.5000, 0.0000)
Cd (0.0184, 0.3627, 0.3626)
Cd (0.2902, 0.5042, 0.7765)
Cd (0.3627, 0.0184, 0.3626)
Cd (0.4958, 0.7098, 0.2235)
Cd (0.5000, 0.0000, 0.0000)
Cd (0.5042, 0.2902, 0.7765)
Cd (0.6373, 0.9816, 0.6374)
Cd (0.7098, 0.4958, 0.2235)
Cd (0.9816, 0.6373, 0.6374)
Pt (0.5000, 0.5000, 0.5000)